(1)
This record from the Alexandria database describes Sr3NiPb after structural relaxation. The functional is PBEsol.

* DFT formation energy: 50.0 kJ/mol of atoms

Cell and atoms, written as extended XYZ:
```
5
Lattice="6.213 0.000 0.000 0.000 6.213 0.000 0.000 0.000 6.213" Properties=species:S:1:pos:R:3 pbc="T T T"
Pb 0.000 0.000 0.000
Sr 0.000 3.107 0.000
Sr 0.000 0.000 3.107
Sr 3.107 0.000 0.000
Ni 3.107 3.107 3.107
```

=====

(2)
This record from the Alexandria database describes SrNiPb2 after structural relaxation. The functional is PBEsol.

* DFT formation energy: -11.3 kJ/mol of atoms

Cell and atoms, written as extended XYZ:
```
4
Lattice="3.525 0.000 0.000 0.000 5.812 0.000 -1.762 -2.906 4.955" Properties=species:S:1:pos:R:3 pbc="T T T"
Ni 1.762 0.000 0.000
Pb 1.762 2.906 2.966
Pb 0.000 0.000 1.990
Sr 0.000 2.906 0.000
```

=====

(3)
This record from the Alexandria database describes SrNiPb3 after structural relaxation. The functional is PBEsol.

* DFT formation energy: -10.8 kJ/mol of atoms

Cell and atoms, written as extended XYZ:
```
5
Lattice="5.181 0.000 0.000 0.000 5.181 0.000 0.000 0.000 5.181" Properties=species:S:1:pos:R:3 pbc="T T T"
Pb 0.000 2.591 0.000
Pb 0.000 0.000 2.591
Pb 2.591 0.000 0.000
Sr 2.591 2.591 2.591
Ni 0.000 0.000 0.000
```

=====

(4)
This record from the Alexandria database describes Ta3NiPb after structural relaxation. The functional is PBEsol.

* DFT formation energy: 75.1 kJ/mol of atoms

Cell and atoms, written as extended XYZ:
```
5
Lattice="-0.178 -3.638 2.815 3.055 -2.200 -2.650 3.440 1.766 2.499" Properties=species:S:1:pos:R:3 pbc="T T T"
Pb 3.158 -2.036 1.332
Ni 0.000 0.000 0.000
Ta 1.527 -1.100 -1.325
Ta 1.720 0.883 1.249
Ta -0.089 -1.819 1.408
```